The following is a PBE-GGA calculation of a relaxed CuMo2As crystal, from Alexandria via LeMat-Bulk.

abc: 4.3930 4.3930 4.3930
angles: 60.00 60.00 60.00
With the nearest neighbours (Å) after each atom.
Fractional positions:
1 Mo 0.0000 0.0000 0.0000  4 Cu 2.69, 4 Mo 2.69
2 Mo 0.2500 0.2500 0.2500  4 Mo 2.69, 4 As 2.69
3 As 0.5000 0.5000 0.5000  4 Mo 2.69, 4 Cu 2.69
4 Cu 0.7500 0.7500 0.7500  4 As 2.69, 4 Mo 2.69

Summary:
* final energy: -29.05 eV for the cell shown
* DFT formation energy: 0.34 eV/atom
* magnetization: 0.00 μB per formula unit
* SG: F-43m (216)